VASP calculation (PBE-GGA) on a relaxed LiPmGdFe crystal.

Unit cell a=4.970 b=4.970 c=4.970 alpha=60.00 beta=60.00 gamma=60.00
Site moments in Bohr magnetons follow the coordinates.
Element x y z (fractional)
Gd1 0.000 0.000 0.000  7.29
Li1 0.250 0.250 0.250  0.05
Fe1 0.750 0.750 0.750  -1.60
Pm1 0.500 0.500 0.500  0.20

Output
Density of states at the Fermi level, states/eV/f.u.: 5.01
Electronic total energy, Ry/atom: -0.5275
Space group: F-43m, No. 216
Calculated density, g cm⁻³: 6.98